A geometry-optimized Pd4PtPb10 structure, computed with PBE.

Its total magnetization is 0.0 μB per cell. For the formation energy, the calculation gives -258 kJ/mol of formula units. As for the density of states at the Fermi level: 0.396 states/eV/atom.

a b c (Å): 4.757 4.757 20.254
angles (deg): 83.26 83.26 60.00
Element x y z (fractional)
Pd  0.400  0.400  0.800
Pd  0.800  0.800  0.600
Pd  0.200  0.200  0.400
Pd  0.600  0.600  0.200
Pt  0.000  0.000  0.000
Pb  0.950  0.950  0.149
Pb  0.151  0.151  0.548
Pb  0.550  0.550  0.349
Pb  0.351  0.351  0.948
Pb  0.750  0.750  0.749
Pb  0.649  0.649  0.052
Pb  0.849  0.849  0.452
Pb  0.250  0.250  0.251
Pb  0.050  0.050  0.851
Pb  0.450  0.450  0.651

=====

A geometry-optimized SrTmCdGa structure, computed with PBE.

Its total magnetization is 0.0 μB per cell. For the formation energy, the calculation gives -122 kJ/mol of formula units. As for the density of states at the Fermi level: 0.648 states/eV/atom.

a b c (Å): 5.352 5.352 5.352
angles (deg): 60.00 60.00 60.00
Element x y z (fractional)
Sr  0.000  0.000  0.000
Tm  0.500  0.500  0.500
Ga  0.750  0.750  0.750
Cd  0.250  0.250  0.250

=====

A geometry-optimized TmCuRu structure, computed with PBE.

Its total magnetization is 0.0 μB per cell. The value obtained for the excess energy over the best structure of this formula in the dataset is 0 meV/atom. For the formation energy, the calculation gives -100 kJ/mol of formula units. As for the density of states at the Fermi level: 0.534 states/eV/atom.

a b c (Å): 5.179 5.306 5.306
angles (deg): 56.70 60.79 60.79
Element x y z (fractional)
Tm  0.877  0.373  0.373
Tm  0.123  0.627  0.627
Cu  0.500  0.500  0.000
Cu  0.500  0.000  0.500
Ru  0.000  0.000  0.000
Ru  0.500  0.000  0.000

=====

A geometry-optimized Y4Ge2H structure, computed with PBE.

Its total magnetization is 0.0 μB per cell. The value obtained for the excess energy over the best structure of this formula in the dataset is 0 meV/atom. As for the density of states at the Fermi level: 0.923 states/eV/atom.

a b c (Å): 4.431 4.431 8.571
angles (deg): 75.02 75.02 90.00
Element x y z (fractional)
Y  0.819  0.819  0.362
Y  0.181  0.181  0.638
Y  0.000  0.500  0.000
Y  0.500  0.000  0.000
H  0.000  0.000  0.000
Ge  0.635  0.635  0.731
Ge  0.365  0.365  0.269

=====

A geometry-optimized Pd2Pb8Au3 structure, computed with PBE.

Its total magnetization is 0.0 μB per cell. For the formation energy, the calculation gives -96 kJ/mol of formula units. As for the density of states at the Fermi level: 0.493 states/eV/atom.

a b c (Å): 4.891 8.628 8.632
angles (deg): 70.87 90.00 90.00
Element x y z (fractional)
Pd  0.500  0.749  0.749
Pd  0.500  0.251  0.251
Pb  0.000  0.373  0.373
Pb  0.000  0.627  0.627
Pb  0.000  0.870  0.869
Pb  0.000  0.130  0.131
Pb  0.500  0.387  0.877
Pb  0.500  0.877  0.387
Pb  0.500  0.123  0.613
Pb  0.500  0.613  0.123
Au  0.500  0.000  0.000
Au  0.000  0.743  0.257
Au  0.000  0.257  0.743

=====

A geometry-optimized Ba3Cd8In structure, computed with PBE.

Its total magnetization is 0.0 μB per cell. For the formation energy, the calculation gives -280 kJ/mol of formula units. As for the density of states at the Fermi level: 0.782 states/eV/atom.

a b c (Å): 6.332 6.332 10.940
angles (deg): 73.18 73.18 60.00
Element x y z (fractional)
Ba  0.376  0.376  0.872
Ba  0.993  0.993  0.020
Ba  0.504  0.504  0.487
Cd  0.937  0.437  0.188
Cd  0.441  0.938  0.683
Cd  0.437  0.437  0.188
Cd  0.938  0.938  0.683
Cd  0.189  0.189  0.433
Cd  0.687  0.687  0.940
Cd  0.437  0.937  0.188
Cd  0.938  0.441  0.683
In  0.872  0.872  0.385

=====

A geometry-optimized SiSb2 structure, computed with PBE.

Its total magnetization is 0.0 μB per cell. The value obtained for the excess energy over the best structure of this formula in the dataset is 278 meV/atom. The calculation puts the uncorrected formation energy at 459 meV/atom. As for the density of states at the Fermi level: 0.608 states/eV/atom.

a b c (Å): 4.815 4.815 4.815
angles (deg): 60.00 60.00 60.00
Element x y z (fractional)
Sb  0.250  0.250  0.250
Sb  0.750  0.750  0.750
Si  0.000  0.000  0.000

=====

A geometry-optimized Ir3PbF structure, computed with PBE.

Its total magnetization is 0.9 μB per cell. The value obtained for the excess energy over the best structure of this formula in the dataset is 0 meV/atom. The calculation puts the uncorrected formation energy at 1214 meV/atom. As for the density of states at the Fermi level: 1.717 states/eV/atom.

a b c (Å): 4.409 4.409 4.409
angles (deg): 90.00 90.00 90.00
Site moments in Bohr magnetons follow the coordinates.
Element x y z (fractional)
Pb  0.500  0.500  0.500  0.04
Ir  0.000  0.500  0.000  0.21
Ir  0.000  0.000  0.500  0.16
Ir  0.500  0.000  0.000  0.38
F  0.000  0.000  0.000  0.06

=====

A geometry-optimized CaIn2Tc structure, computed with PBE.

Its total magnetization is 2.2 μB per cell. The value obtained for the excess energy over the best structure of this formula in the dataset is 491 meV/atom. For the formation energy, the calculation gives 197 kJ/mol of formula units. As for the density of states at the Fermi level: 0.621 states/eV/atom.

a b c (Å): 4.557 4.557 10.418
angles (deg): 77.37 77.37 90.00
Site moments in Bohr magnetons follow the coordinates.
Element x y z (fractional)
Ca  0.500  0.500  0.000  -0.01
Ca  0.250  0.750  0.500  -0.01
Tc  0.000  0.000  0.000  1.03
Tc  0.750  0.250  0.500  1.03
In  0.686  0.125  0.250  -0.03
In  0.064  0.625  0.250  -0.03
In  0.375  0.314  0.750  -0.03
In  0.875  0.936  0.750  -0.03

=====

A geometry-optimized Y2CdBi structure, computed with PBE.

Its total magnetization is 0.8 μB per cell. The value obtained for the excess energy over the best structure of this formula in the dataset is 0 meV/atom. For the formation energy, the calculation gives -200 kJ/mol of formula units. As for the density of states at the Fermi level: 0.630 states/eV/atom.

a b c (Å): 4.008 4.008 6.910
angles (deg): 90.00 90.00 90.00
Site moments in Bohr magnetons follow the coordinates.
Element x y z (fractional)
Y  0.000  0.000  0.750  0.22
Y  0.000  0.000  0.250  0.22
Bi  0.500  0.500  0.000  -0.01
Cd  0.500  0.500  0.500  0.00

=====

A geometry-optimized CdMoAs3 structure, computed with PBE.

Its total magnetization is 0.0 μB per cell. The value obtained for the excess energy over the best structure of this formula in the dataset is 0 meV/atom. For the formation energy, the calculation gives 180 kJ/mol of formula units. As for the density of states at the Fermi level: 1.125 states/eV/atom.

a b c (Å): 4.927 4.927 4.927
angles (deg): 90.00 90.00 90.00
Element x y z (fractional)
Mo  0.000  0.000  0.000
As  0.000  0.500  0.000
As  0.000  0.000  0.500
As  0.500  0.000  0.000
Cd  0.500  0.500  0.500

=====

no.,E_tot (hartree per atom)
1,-0.163
2,-0.104
3,-0.231
4,-0.226
5,-0.144
6,-0.057
7,-0.151
8,-0.192
9,-0.145
10,-0.182
11,-0.175